(1)
! CeSmGaSi (GGA-PBE, relaxed); values from VASP
&SYSTEM
  ibrav = 0, nat = 4, ntyp = 4
/
ATOMIC_SPECIES
Ce 140.12 Ce.upf
Sm 150.36 Sm.upf
Ga 69.72 Ga.upf
Si 28.09 Si.upf
ATOMIC_POSITIONS crystal
Ce 0.858 0.500 0.716
Sm 0.144 0.000 0.287
Ga 0.571 0.500 0.143
Si 0.427 0.000 0.854
CELL_PARAMETERS angstrom
-1.565 -4.053 0.604
2.085 -1.280 -3.186
5.082 0.855 2.983
! space group	No. 38
! uncorrected formation energy	-61.6	kJ/mol of atoms
! offset from the most stable computed form	0.000	eV per atom



(2)
! KCdIn2Cl5 (GGA-PBE, relaxed); values from VASP
&SYSTEM
  ibrav = 0, nat = 18, ntyp = 4
/
ATOMIC_SPECIES
K 39.10 K.upf
Cd 112.41 Cd.upf
In 114.82 In.upf
Cl 35.45 Cl.upf
ATOMIC_POSITIONS crystal
K 0.545 0.090 0.943
K 0.455 0.910 0.443
Cd 0.762 0.524 0.531
Cd 0.238 0.476 0.031
In 0.857 0.713 0.756
In 0.077 0.153 0.655
In 0.143 0.287 0.256
In 0.923 0.847 0.155
Cl 0.386 0.772 0.023
Cl 0.721 0.442 0.928
Cl 0.477 0.954 0.773
Cl 0.248 0.497 0.645
Cl 0.907 0.814 0.570
Cl 0.614 0.228 0.523
Cl 0.279 0.558 0.428
Cl 0.523 0.046 0.273
Cl 0.752 0.503 0.145
Cl 0.093 0.186 0.070
CELL_PARAMETERS angstrom
4.142 0.000 0.000
-2.071 8.890 0.000
0.000 0.000 16.396
! space group	No. 36
! uncorrected formation energy	-109.0	kJ/mol of atoms



(3)
! Cd2InW (GGA-PBE, relaxed); values from VASP
&SYSTEM
  ibrav = 0, nat = 4, ntyp = 3
/
ATOMIC_SPECIES
Cd 112.41 Cd.upf
W 183.84 W.upf
In 114.82 In.upf
ATOMIC_POSITIONS crystal
Cd 0.000 0.000 0.980
Cd 0.500 0.500 0.242
W 0.500 0.500 0.754
In 0.000 0.000 0.524
CELL_PARAMETERS angstrom
-2.530 0.440 1.375
-0.190 -2.851 0.565
4.781 1.339 8.368
! space group	No. 99
! formation energy	485	meV per atom



(4)
! SnSbPb (GGA-PBE, relaxed); values from VASP
&SYSTEM
  ibrav = 0, nat = 3, ntyp = 3
/
ATOMIC_SPECIES
Pb 207.20 Pb.upf
Sb 121.76 Sb.upf
Sn 118.71 Sn.upf
ATOMIC_POSITIONS crystal
Pb 0.122 0.122 0.243
Sb 0.782 0.782 0.565
Sn 0.946 0.946 0.892
CELL_PARAMETERS angstrom
-2.714 -1.697 -0.162
1.319 -2.283 1.821
-2.332 6.129 6.553
! space group	No. 107
! uncorrected formation energy	14.4	kJ/mol of atoms
! offset from the most stable computed form	0.095	eV per atom



(5)
! GaTcOF2 (GGA-PBE, relaxed); values from VASP
&SYSTEM
  ibrav = 0, nat = 5, ntyp = 4
/
ATOMIC_SPECIES
O 16.00 O.upf
Tc 98.00 Tc.upf
Ga 69.72 Ga.upf
F 19.00 F.upf
ATOMIC_POSITIONS crystal
O 0.000 0.000 0.500
Tc 0.500 0.500 0.500
Ga 0.000 0.000 0.000
F 0.000 0.500 0.000
F 0.500 0.000 0.000
CELL_PARAMETERS angstrom
-3.788 0.801 -1.711
-1.453 -3.686 1.490
-1.044 1.659 3.087
! space group	No. 123
! uncorrected formation energy	-85.1	kJ/mol of atoms
! offset from the most stable computed form	0.369	eV per atom



(6)
! ZrF (GGA-PBE, relaxed); values from VASP
&SYSTEM
  ibrav = 0, nat = 12, ntyp = 2
/
ATOMIC_SPECIES
Zr 91.22 Zr.upf
F 19.00 F.upf
ATOMIC_POSITIONS crystal
Zr 0.250 0.500 0.000
Zr 0.750 0.500 0.000
Zr 0.500 0.000 0.250
Zr 0.500 0.000 0.750
Zr 0.000 0.250 0.500
Zr 0.000 0.750 0.500
F 0.250 0.000 0.500
F 0.750 0.000 0.500
F 0.000 0.500 0.250
F 0.000 0.500 0.750
F 0.500 0.250 0.000
F 0.500 0.750 0.000
CELL_PARAMETERS angstrom
6.331 0.000 0.000
0.000 6.331 0.000
0.000 0.000 6.331
! space group	No. 223
! uncorrected formation energy	-92.8	kJ/mol of atoms
! offset from the most stable computed form	1.297	eV per atom